IrSF2 | PBE | optimized geometry

## Properties
Energy above the most stable polymorph in this dataset (meV/atom): 0
Energy relative to the elements, uncorrected (eV/atom): -0.45

Lattice parameters (Å, degrees): 2.6588 2.6588 30.8359 90.00 90.00 120.00
Space group R-3m (No. 166, hexagonal axes)
One atom of each set of equivalent atoms:
Ir: 0.0000 0.0000 0.0000
S: 0.0000 0.0000 0.5000
F: 0.0000 0.0000 0.0616